No. 1
First-principles (GGA-PBEsol) data for crystalline MnAlAu2 at its relaxed geometry, as listed in the Alexandria database.

Cell and atoms, written as POSCAR:
```
MnAlAu2
1.0
-1.975 1.975 3.954
1.975 -1.975 3.954
1.975 1.975 -3.954
Mn Al Au
1 1 2
direct
0.000 0.000 0.000 Mn
0.250 0.750 0.500 Al
0.500 0.500 0.000 Au
0.750 0.250 0.500 Au
```

Results
Mass density ... 12.8 g cm⁻³
Energy of formation from the pure elements ... -0.153 eV per atom

No. 2
First-principles (GGA-PBEsol) data for crystalline MnAl3Au at its relaxed geometry, as listed in the Alexandria database.

Cell and atoms, written as POSCAR:
```
MnAl3Au
1.0
4.783 0.000 0.000
0.000 4.783 0.000
0.000 0.000 4.783
Mn Al Au
1 3 1
direct
0.000 0.000 0.000 Mn
0.000 0.500 0.500 Al
0.500 0.000 0.500 Al
0.500 0.500 0.000 Al
0.500 0.500 0.500 Au
```

Results
Mass density ... 5.1 g cm⁻³
Energy of formation from the pure elements ... 0.633 eV per atom

Please write out number 1 again, unchanged.
First-principles (GGA-PBEsol) data for crystalline MnAlAu2 at its relaxed geometry, as listed in the Alexandria database.

Cell and atoms, written as POSCAR:
```
MnAlAu2
1.0
-1.975 1.975 3.954
1.975 -1.975 3.954
1.975 1.975 -3.954
Mn Al Au
1 1 2
direct
0.000 0.000 0.000 Mn
0.250 0.750 0.500 Al
0.500 0.500 0.000 Au
0.750 0.250 0.500 Au
```

Results
Mass density ... 12.8 g cm⁻³
Energy of formation from the pure elements ... -0.153 eV per atom

Copy entry 1 word for word.
First-principles (GGA-PBEsol) data for crystalline MnAlAu2 at its relaxed geometry, as listed in the Alexandria database.

Cell and atoms, written as POSCAR:
```
MnAlAu2
1.0
-1.975 1.975 3.954
1.975 -1.975 3.954
1.975 1.975 -3.954
Mn Al Au
1 1 2
direct
0.000 0.000 0.000 Mn
0.250 0.750 0.500 Al
0.500 0.500 0.000 Au
0.750 0.250 0.500 Au
```

Results
Mass density ... 12.8 g cm⁻³
Energy of formation from the pure elements ... -0.153 eV per atom

The lowest energy of formation from the pure elements belongs to which entry? MnAlAu2